## A
7
Lattice="5.499 -0.003 -0.005 -2.740 7.850 1.984 0.003 0.573 5.542" Properties=species:S:1:pos:R:3 comment="La2Pm2Tl3 PBE optimized geometry" m_tot_mub_per_cell=0.0 sg="P-1, No. 2" pbc="T T T"
Pm 2.755 2.400 5.345
Pm 0.008 6.021 2.176
Tl 0.000 0.000 0.000
Tl 0.006 4.366 5.149
Tl 2.757 4.054 2.372
La 2.757 6.269 4.945
La 0.006 2.151 2.576



## B
7
Lattice="3.598 0.000 0.478 0.000 3.616 0.000 -0.386 0.000 16.703" Properties=species:S:1:pos:R:3 comment="La2Pm2Tl3 PBE optimized geometry" m_tot_mub_per_cell=0.0 sg="Cmmm, No. 65" pbc="T T T"
La 0.920 1.808 6.864
La 2.293 1.808 10.317
Tl 3.016 0.000 4.869
Tl 0.000 0.000 0.000
Tl 0.197 0.000 12.311
Pm 1.704 1.808 14.751
Pm 1.508 1.808 2.430



Q: Which of them is the least stable? A: A.



## A
12
Lattice="-0.145 4.559 5.322 4.452 -3.689 3.281 5.399 3.121 -7.142" Properties=species:S:1:pos:R:3 comment="La2Pm3Tl PBE optimized geometry" m_tot_mub_per_cell=0.0 sg="C2/c, No. 15" pbc="T T T"
La 4.138 2.341 3.592
La 1.940 3.327 0.949
La 5.567 1.649 -2.130
La 7.766 0.663 0.513
Pm 1.925 1.132 -1.965
Pm 4.118 0.323 0.884
Pm 5.588 3.668 0.578
Pm 3.308 -1.785 3.608
Pm 0.999 2.654 4.996
Pm 7.781 2.858 3.427
Tl 3.235 0.492 6.266
Tl 1.072 0.377 2.337



## B
6
Lattice="5.009 0.000 0.000 0.000 4.727 -1.598 0.000 0.159 8.260" Properties=species:S:1:pos:R:3 comment="La2Pm3Tl PBE optimized geometry" m_tot_mub_per_cell=0.0 sg="Cmmm, No. 65" pbc="T T T"
Pm 2.505 0.809 2.392
Pm 2.505 2.363 -0.799
Pm 2.505 4.077 4.270
La 0.000 1.695 5.014
La 0.000 3.191 1.648
Tl 0.000 0.000 0.000



Q: Which of them is the least stable? A: A.



## A
12
Lattice="5.614 -0.903 0.000 -4.039 10.697 0.000 0.000 0.000 7.053" Properties=species:S:1:pos:R:3 comment="LaPm4Tl PBE optimized geometry" m_tot_mub_per_cell=0.0 sg="Pmmn, No. 59" pbc="T T T"
Pm 0.045 9.238 1.763
Pm 4.593 1.695 7.009
Pm -3.018 8.100 3.483
Pm 1.529 0.557 5.290
Pm -0.434 6.271 5.290
Pm -3.018 8.100 0.044
Pm 2.008 3.523 1.763
Pm 4.593 1.695 3.571
La 2.077 3.975 5.290
La -0.502 5.819 1.763
Tl 1.507 0.419 1.763
Tl 0.067 9.375 5.290



## B
6
Lattice="3.707 0.000 0.000 0.000 3.707 0.000 0.000 0.000 14.567" Properties=species:S:1:pos:R:3 comment="LaPm4Tl PBE optimized geometry" m_tot_mub_per_cell=0.0 sg="P4/mmm, No. 123" pbc="T T T"
Pm 1.854 1.854 11.945
Pm 0.000 0.000 5.166
Pm 1.854 1.854 2.623
Pm 0.000 0.000 9.402
Tl 1.854 1.854 7.284
La 0.000 0.000 0.000



Q: Which of them is the least stable? A: A.



## A
4
Lattice="5.520 0.000 0.000 0.000 5.520 0.000 -2.760 -2.760 3.910" Properties=species:S:1:pos:R:3 comment="LaPmTmTl PBE optimized geometry" m_tot_mub_per_cell=0.0 sg="F-43m, No. 216" pbc="T T T"
Pm 0.000 0.000 0.000
La 2.760 0.000 1.955
Tm 2.760 2.760 0.000
Tl 0.000 2.760 1.955



## B
4
Lattice="-4.560 3.178 0.663 -5.058 -2.384 0.266 -2.798 -0.096 4.848" Properties=species:S:1:pos:R:3 comment="LaPmTmTl PBE optimized geometry" m_tot_mub_per_cell=1.0 sg="F-43m, No. 216" pbc="T T T"
Tm -6.208 0.349 2.888
Pm -3.104 0.175 1.444
Tl 0.000 0.000 0.000
La -9.312 0.524 4.332



Q: Which of them is the least stable? A: A.



## A
11
Lattice="4.672 -0.099 -2.913 -1.043 9.684 -1.993 -1.022 -0.709 8.789" Properties=species:S:1:pos:R:3 comment="LaPm3Tm7 PBE optimized geometry" m_tot_mub_per_cell=0.0 sg="P2/m, No. 10" pbc="T T T"
Pm 3.129 -0.201 -0.186
Pm -0.522 9.077 4.070
Pm -0.522 4.842 -0.996
Tm 0.110 1.575 0.122
Tm 1.825 -0.404 2.938
Tm 0.001 5.589 5.020
Tm 2.890 6.559 -0.788
Tm -0.283 2.317 4.672
Tm 2.497 7.302 3.762
Tm 2.606 3.287 -1.136
La 1.303 4.438 1.942



## B
11
Lattice="5.805 -0.214 -0.274 -2.568 7.939 1.089 -2.568 -0.868 7.966" Properties=species:S:1:pos:R:3 comment="LaPm3Tm7 PBE optimized geometry" m_tot_mub_per_cell=0.0 sg="Immm, No. 71" pbc="T T T"
La 0.335 3.428 4.391
Pm -2.568 6.080 2.541
Pm -2.568 0.991 6.514
Pm 2.903 -0.107 -0.137
Tm -2.376 3.819 8.349
Tm 0.535 5.463 6.996
Tm 0.136 1.394 1.785
Tm 3.046 3.038 0.433
Tm 3.046 -0.317 3.052
Tm -2.568 3.536 4.528
Tm -2.376 7.174 5.729



Q: Which of them is the least stable? A: B.



## A
10
Lattice="2.112 1.134 5.625 -9.052 0.258 -5.442 0.501 -7.142 3.471" Properties=species:S:1:pos:R:3 comment="LaPm2Tm7 PBE optimized geometry" m_tot_mub_per_cell=0.0 sg="P-1, No. 2" pbc="T T T"
Tm 0.966 -4.891 6.171
Tm -2.314 -2.665 0.327
Tm -4.126 -3.085 3.328
Tm -3.470 0.696 0.091
Tm -4.595 -5.344 0.627
Tm -7.405 -0.859 -2.517
Tm -1.845 -0.406 3.027
La 0.000 0.000 0.000
Pm -0.684 -3.764 3.260
Pm -5.756 -1.985 0.395



## B
10
Lattice="5.452 0.000 0.000 0.000 9.307 -0.687 0.000 -4.812 7.996" Properties=species:S:1:pos:R:3 comment="LaPm2Tm7 PBE optimized geometry" m_tot_mub_per_cell=0.0 sg="Cmmm, No. 65" pbc="T T T"
Tm 0.000 6.359 1.125
Tm 2.726 2.111 6.996
Tm 0.000 -1.865 6.183
Tm 2.726 2.384 0.313
Tm 2.726 5.291 5.040
Tm 2.726 -0.797 2.269
Tm 2.726 2.247 3.654
La 0.000 0.000 0.000
Pm 2.726 5.106 1.896
Pm 2.726 -0.611 5.412



Q: Which of them is the least stable? A: B.



## A
11
Lattice="-4.232 4.432 -1.007 -2.289 -3.590 7.027 6.144 3.764 3.949" Properties=species:S:1:pos:R:3 comment="La7Pm2Tm2 PBE optimized geometry" m_tot_mub_per_cell=0.0 sg="C2/m, No. 12" pbc="T T T"
La -1.177 3.646 5.484
La 4.144 2.906 6.516
La 0.800 0.960 4.485
La 0.020 5.660 1.796
La -0.397 -1.054 8.173
La 0.000 0.000 0.000
La -4.521 1.700 3.453
Tm -2.606 0.194 5.867
Tm 2.229 4.411 4.102
Pm -1.650 2.680 1.881
Pm 1.273 1.925 8.088



## B
11
Lattice="-6.115 -0.053 -7.646 7.748 -2.858 1.421 3.781 -7.931 4.321" Properties=species:S:1:pos:R:3 comment="La7Pm2Tm2 PBE optimized geometry" m_tot_mub_per_cell=0.0 sg="C2/m, No. 12" pbc="T T T"
La 4.805 -6.397 -0.080
La 6.311 -9.439 1.298
La 0.608 -4.444 -1.823
La -1.839 -4.623 -4.543
La -0.898 -1.403 -3.202
La 7.253 -6.219 2.639
La 0.000 0.000 0.000
Pm 1.770 -6.049 1.214
Pm 3.643 -4.793 -3.118
Tm 3.402 -3.042 0.039
Tm 2.011 -7.800 -1.943



Q: Which of them is the least stable? A: B.



## A
14
Lattice="5.897 0.000 0.000 0.000 9.835 0.000 0.000 -4.918 8.518" Properties=species:S:1:pos:R:3 comment="La3Pm3Tm PBE optimized geometry" m_tot_mub_per_cell=0.0 sg="P6_3/m, No. 176" pbc="T T T"
Pm 1.474 -0.657 7.703
Pm 1.474 -1.425 4.098
Pm 4.423 6.343 4.420
Pm 4.423 2.836 3.283
Pm 1.474 2.082 5.235
Pm 4.423 5.574 0.815
La 1.474 5.643 6.443
La 1.474 7.676 0.410
La 4.423 -0.725 2.075
La 1.474 1.434 1.665
La 4.423 -2.758 8.108
La 4.423 3.483 6.852
Tm 1.474 4.918 2.839
Tm 4.423 0.000 5.678



## B
14
Lattice="1.905 -3.253 8.128 8.290 -2.739 2.014 5.101 4.645 5.717" Properties=species:S:1:pos:R:3 comment="La3Pm3Tm PBE optimized geometry" m_tot_mub_per_cell=0.0 sg="R-3, No. 148" pbc="T T T"
La 6.746 2.737 5.728
La 11.712 0.051 7.431
La 3.583 -1.398 8.427
La 7.595 -2.918 4.429
La 8.549 -4.085 10.130
La 7.701 1.571 11.429
Pm 8.874 2.248 8.453
Pm 9.969 -2.679 6.978
Pm 6.278 -1.782 10.614
Pm 9.017 0.434 5.244
Pm 5.327 1.331 8.880
Pm 6.422 -3.595 7.405
Tm 5.318 -0.468 5.513
Tm 9.978 -0.879 10.345



Q: Which of them is the least stable? A: B.



## A
14
Lattice="8.067 0.800 3.753 2.709 7.641 3.753 1.021 0.800 8.839" Properties=species:S:1:pos:R:3 comment="LaPm3Tm3 PBE optimized geometry" m_tot_mub_per_cell=0.0 sg="R-3, No. 148" pbc="T T T"
Tm 7.156 1.379 5.848
Tm 7.208 2.623 11.606
Tm 2.128 2.871 8.634
Tm 9.670 6.370 7.711
Tm 4.589 6.618 4.739
Tm 4.641 7.862 10.497
Pm 4.362 4.266 10.883
Pm 8.696 3.213 8.350
Pm 6.287 7.673 7.567
Pm 7.436 4.975 5.462
Pm 5.511 1.568 8.778
Pm 3.102 6.028 7.995
La 4.078 3.195 5.650
La 7.719 6.047 10.695



## B
7
Lattice="8.134 0.000 0.000 -2.711 5.762 0.000 -2.711 -2.881 4.990" Properties=species:S:1:pos:R:3 comment="LaPm3Tm3 PBE optimized geometry" m_tot_mub_per_cell=0.0 sg="R3m, No. 160" pbc="T T T"
Tm 2.309 -1.161 2.010
Tm 2.309 2.321 0.000
Tm -3.113 1.720 2.980
Pm 6.942 2.089 0.000
Pm 1.520 1.836 3.180
Pm 6.942 -1.045 1.810
La 4.578 0.000 0.000



Q: Which of them is the least stable? A: B.



## A
11
Lattice="8.406 -0.803 -2.835 -2.278 9.825 -0.632 -1.868 -0.103 5.182" Properties=species:S:1:pos:R:3 comment="La3PmTm7 PBE optimized geometry" m_tot_mub_per_cell=0.0 sg="P-1, No. 2" pbc="T T T"
Tm 4.490 2.310 -1.264
Tm 4.809 5.572 -1.082
Tm 4.056 7.329 1.610
Tm -0.230 6.608 2.979
Tm 0.204 1.589 0.105
Tm 3.269 -0.453 1.174
Tm -0.549 3.346 2.797
Pm 2.130 4.459 0.858
La -1.815 9.560 2.463
La 6.075 -0.642 -0.748
La -1.139 4.912 -0.316



## B
11
Lattice="8.749 0.000 0.000 0.000 7.043 0.000 0.000 -3.521 6.099" Properties=species:S:1:pos:R:3 comment="La3PmTm7 PBE optimized geometry" m_tot_mub_per_cell=0.0 sg="P3m1, No. 156" pbc="T T T"
Tm 1.080 -1.760 5.082
Tm 1.080 0.000 2.034
Tm 3.861 1.766 1.020
Tm 3.861 3.521 4.059
Tm 3.861 5.276 1.020
Tm 1.091 3.521 2.033
Tm 1.080 1.760 5.082
La 6.861 5.277 3.047
La 6.861 1.766 3.047
La 6.861 3.521 0.006
Pm 3.877 0.000 4.066



Q: Which of them is the least stable? A: B.



## A
11
Lattice="-2.168 0.224 -2.821 2.838 -11.001 -3.057 -5.808 -2.669 6.503" Properties=species:S:1:pos:R:3 comment="La5Pm2Tm4 PBE optimized geometry" m_tot_mub_per_cell=0.0 sg="C2/m, No. 12" pbc="T T T"
Tm 0.291 -3.023 -0.464
Tm -5.428 -10.422 1.089
Tm -0.737 -9.383 -2.433
Tm -4.400 -4.062 3.058
Pm -3.089 -4.824 -0.263
Pm -2.049 -8.622 0.888
La -1.084 0.112 -1.411
La 0.188 -6.347 -0.650
La -5.326 -7.099 1.275
La -2.223 -1.682 1.574
La -2.915 -11.763 -0.949



## B
11
Lattice="-1.777 2.146 -2.221 4.529 -3.695 -7.196 -9.854 -7.416 3.578" Properties=species:S:1:pos:R:3 comment="La5Pm2Tm4 PBE optimized geometry" m_tot_mub_per_cell=0.0 sg="Immm, No. 71" pbc="T T T"
La -5.565 -5.857 -4.065
La -1.537 -3.108 -1.773
La -0.889 1.073 -1.110
La 1.170 -5.317 -6.075
La -8.273 -3.648 0.236
Tm -6.855 -6.622 -0.914
Tm -0.247 -2.342 -4.925
Tm 3.082 -2.515 -4.897
Tm 1.447 -1.180 -2.299
Pm -2.554 -4.570 -5.232
Pm -4.549 -4.394 -0.606



Q: Which of them is the least stable? A: B.